LiV2OF7 (PBE+U, optimized geometry); symmetry = Cm, No. 8; Fermi-level density of states = 0.00 states/eV/f.u.; polymorph energy (0 for the lowest one) = 0.0000 eV/atom
1.0
5.718 -0.055 -0.128
-2.471 5.156 0.128
-1.954 -2.340 4.845
F O Li V
7 1 1 2
direct
0.785 0.017 0.268
0.251 0.483 0.268
0.227 0.014 0.708
0.738 0.434 0.172
0.694 0.481 0.708
0.240 0.578 0.818
0.740 0.084 0.824
0.238 0.922 0.160
0.239 0.205 0.444
0.996 0.520 0.002
0.482 0.006 0.002